No. 1
Below is a relaxed YHfPd3 crystal, with properties calculated at the GGA-PBE level.

Lattice parameters (Å, degrees): 4.900 4.900 4.900 90.00 90.00 90.00
Sites, in units of the cell vectors:
Pd 0.000 0.500 0.000
Hf 0.000 0.000 0.000
Pd 0.500 0.000 0.000
Pd 0.000 0.000 0.500
Y 0.500 0.500 0.500

## Properties
Its formation energy is -0.0835 eV/atom. The calculation puts the energy above the most stable polymorph in this dataset at 0.00 eV per formula unit. As for the space group: Pm-3m.


No. 2
Below is a relaxed YHfPd crystal, with properties calculated at the GGA-PBE level.

Lattice parameters (Å, degrees): 3.421 3.421 6.199 106.02 106.02 90.00
Sites, in units of the cell vectors:
Pd 0.317 0.317 0.634
Y 0.992 0.992 0.984
Hf 0.691 0.691 0.382

## Properties
Its formation energy is -0.4275 eV/atom. As for the space group: I4mm.


No. 3
Below is a relaxed HfZn2Pd2 crystal, with properties calculated at the GGA-PBE level.

Lattice parameters (Å, degrees): 3.568 3.568 7.107 75.46 75.46 90.00
Sites, in units of the cell vectors:
Zn 0.250 0.750 0.500
Zn 0.750 0.250 0.500
Hf 0.000 0.000 0.000
Pd 0.399 0.399 0.202
Pd 0.601 0.601 0.798

## Properties
Its formation energy is -0.4482 eV/atom. The calculation puts the energy above the most stable polymorph in this dataset at 0.33 eV per formula unit. As for the space group: I4/mmm.


No. 4
Below is a relaxed HfZn2Pd4 crystal, with properties calculated at the GGA-PBE level.

Lattice parameters (Å, degrees): 5.531 6.577 7.012 104.76 107.05 101.52
Sites, in units of the cell vectors:
Pd 0.361 0.470 0.153
Hf 0.296 0.740 0.474
Zn 0.625 0.196 0.086
Pd 0.052 0.306 0.407
Pd 0.442 0.784 0.929
Pd 0.815 0.653 0.569
Pd 0.486 0.162 0.388
Zn 0.767 0.899 0.342
Zn 0.032 0.437 0.790
Pd 0.206 0.076 0.726
Pd 0.722 0.067 0.752
Zn 0.514 0.432 0.732
Pd 0.875 0.574 0.112
Hf 0.056 0.954 0.040

## Properties
Its formation energy is -0.5318 eV/atom. The calculation puts the energy above the most stable polymorph in this dataset at 0.00 eV per formula unit. As for the space group: P1.


No. 5
Below is a relaxed HfZn5Pd6 crystal, with properties calculated at the GGA-PBE level.

Lattice parameters (Å, degrees): 4.107 7.217 6.445 90.00 108.54 90.00
Sites, in units of the cell vectors:
Zn 0.664 0.500 0.328
Pd 0.168 0.255 0.336
Pd 0.500 0.252 0.000
Pd 0.832 0.255 0.664
Zn 0.327 0.000 0.654
Zn 0.336 0.500 0.672
Zn 0.000 0.500 0.000
Hf 0.000 0.000 0.000
Pd 0.500 0.748 0.000
Zn 0.673 0.000 0.346
Pd 0.168 0.745 0.336
Pd 0.832 0.745 0.664

## Properties
Its formation energy is -0.5895 eV/atom. As for the space group: Cmmm.


No. 6
Below is a relaxed HfZnPd2 crystal, with properties calculated at the GGA-PBE level.

Lattice parameters (Å, degrees): 3.305 3.305 6.067 90.00 90.00 90.00
Sites, in units of the cell vectors:
Pd 0.000 0.000 0.240
Pd 0.000 0.000 0.760
Zn 0.500 0.500 0.000
Hf 0.500 0.500 0.500

## Properties
Its formation energy is -0.6328 eV/atom. As for the space group: P4/mmm.


No. 7
Below is a relaxed HfZn2Pd2 crystal, with properties calculated at the GGA-PBE level.

Lattice parameters (Å, degrees): 7.434 7.434 2.886 90.00 90.00 90.00
Sites, in units of the cell vectors:
Pd 0.680 0.820 0.500
Zn 0.382 0.882 0.000
Zn 0.618 0.118 0.000
Zn 0.118 0.382 0.000
Hf 0.000 0.000 0.000
Pd 0.820 0.320 0.500
Hf 0.500 0.500 0.000
Pd 0.320 0.180 0.500
Pd 0.180 0.680 0.500
Zn 0.882 0.618 0.000

## Properties
Its formation energy is -0.4643 eV/atom. The calculation puts the energy above the most stable polymorph in this dataset at 0.25 eV per formula unit. As for the space group: P4/mbm.


No. 8
Below is a relaxed HfZnPd5 crystal, with properties calculated at the GGA-PBE level.

Lattice parameters (Å, degrees): 4.092 4.092 6.891 90.00 90.00 90.00
Sites, in units of the cell vectors:
Zn 0.500 0.500 0.000
Pd 0.500 0.000 0.223
Pd 0.500 0.000 0.777
Pd 0.000 0.500 0.777
Pd 0.500 0.500 0.500
Pd 0.000 0.500 0.223
Hf 0.000 0.000 0.500

## Properties
Its formation energy is -0.6013 eV/atom. The calculation puts the energy above the most stable polymorph in this dataset at 0.00 eV per formula unit. As for the space group: P4/mmm.


No. 9
Below is a relaxed Hf3Zn2Pd8 crystal, with properties calculated at the GGA-PBE level.

Lattice parameters (Å, degrees): 5.299 5.299 9.860 74.41 74.41 60.00
Sites, in units of the cell vectors:
Pd 0.776 0.273 0.678
Pd 0.717 0.717 0.849
Zn 0.632 0.632 0.105
Pd 0.273 0.273 0.678
Pd 0.273 0.776 0.678
Hf 0.000 0.000 0.000
Hf 0.190 0.190 0.429
Pd 0.727 0.727 0.322
Zn 0.368 0.368 0.895
Pd 0.224 0.727 0.322
Hf 0.810 0.810 0.571
Pd 0.283 0.283 0.151
Pd 0.727 0.224 0.322

## Properties
Its formation energy is -0.4134 eV/atom. As for the space group: R-3m.


No. 10
Below is a relaxed HfZn4Pd crystal, with properties calculated at the GGA-PBE level.

Lattice parameters (Å, degrees): 4.286 4.286 10.711 101.48 101.48 90.14
Sites, in units of the cell vectors:
Zn 0.924 0.924 0.347
Zn 0.346 0.846 0.191
Zn 0.576 0.576 0.653
Zn 0.424 0.424 0.347
Zn 0.654 0.154 0.809
Zn 0.154 0.654 0.809
Hf 0.750 0.750 0.000
Pd 0.000 0.500 0.500
Zn 0.846 0.346 0.191
Pd 0.500 0.000 0.500
Zn 0.076 0.076 0.653
Hf 0.250 0.250 0.000

## Properties
Its formation energy is -0.2599 eV/atom. The calculation puts the energy above the most stable polymorph in this dataset at 0.30 eV per formula unit. As for the space group: P4/mmm.


No. 11
Below is a relaxed HfZnPd3 crystal, with properties calculated at the GGA-PBE level.

Lattice parameters (Å, degrees): 4.560 4.560 4.560 90.00 90.00 90.00
Sites, in units of the cell vectors:
Hf 0.500 0.500 0.500
Pd 0.000 0.000 0.500
Pd 0.500 0.000 0.000
Pd 0.000 0.500 0.000
Zn 0.000 0.000 0.000

## Properties
Its formation energy is 0.1923 eV/atom. The calculation puts the energy above the most stable polymorph in this dataset at 3.86 eV per formula unit. As for the space group: Pm-3m.


No. 12
Below is a relaxed Hf2ZnPd2 crystal, with properties calculated at the GGA-PBE level.

Lattice parameters (Å, degrees): 3.237 3.845 14.536 90.00 90.00 90.00
Sites, in units of the cell vectors:
Hf 0.500 0.000 0.611
Hf 0.500 0.000 0.389
Hf 0.500 0.500 0.111
Pd 0.000 0.500 0.315
Zn 0.000 0.000 0.000
Pd 0.000 0.000 0.185
Zn 0.000 0.500 0.500
Hf 0.500 0.500 0.889
Pd 0.000 0.500 0.685
Pd 0.000 0.000 0.815

## Properties
Its formation energy is -0.5074 eV/atom. As for the space group: Cmmm.


Question: Look up the formation energy of the twelfth one.
Answer: -0.5074 eV/atom